The following is a PBE-GGA calculation of a geometry-optimized ZnTeIr2 structure, from Alexandria.

The structure belongs to space group Pmm2 (No. 25); the cell edges are 3.1164, 4.7459 and 4.5219 Å and the angles 90.00°, 90.00° and 90.00°. The distinct sites, in fractional coordinates, are Zn at (0.0000, 0.0000, 0.0000), Te at (0.5000, 0.5000, 0.2399), Ir at (0.0000, 0.5000, 0.7353) and Ir at (0.5000, 0.0000, 0.5155).

The volume is 66.9 Å³/f.u. The energy above the lowest structure with this stoichiometry comes out at 15 meV/atom. As for the spin magnetization: 0.0 μB per formula unit. The energy relative to the elements, uncorrected comes out at 0.204 eV per atom.

---

The following is a PBE-GGA calculation of a geometry-optimized Pr8RuPt2 structure, from Alexandria.

The structure belongs to space group Cm (No. 8); the cell edges are 8.6910, 12.8996 and 6.5303 Å and the angles 90.00°, 111.67° and 90.00°. The distinct sites, in fractional coordinates, are Pr at (0.0000, 0.0000, 0.0000), Pr at (0.0674, 0.3694, 0.8238), Pr at (0.1380, 0.1318, 0.5821), Pr at (0.2072, 0.5000, 0.3795), Pr at (0.3564, 0.1961, 0.1908), Ru at (0.3494, 0.0000, 0.9989) and Pt at (0.3498, 0.3160, 0.6919).

The volume is 340.2 Å³/f.u. The energy above the lowest structure with this stoichiometry comes out at 61 meV/atom. The value obtained for the calculated formation energy is -368.4 meV per atom. As for the spin magnetization: 0.0 μB per formula unit.

---

The following is a PBE-GGA calculation of a geometry-optimized Zr3TiGa2N structure, from Alexandria.

The structure belongs to space group Immm (No. 71); the cell edges are 4.0278, 4.2854 and 14.6888 Å and the angles 90.00°, 90.00° and 90.00°. The distinct sites, in fractional coordinates, are Zr at (0.0000, 0.0000, 0.0000), Zr at (0.0000, 0.5000, 0.1639), Ti at (0.0000, 0.0000, 0.5000), Ga at (0.0000, 0.5000, 0.3597) and N at (0.0000, 0.5000, 0.0000).

The volume is 126.8 Å³/f.u. As for the spin magnetization: 0.0 μB per formula unit. The energy relative to the elements, uncorrected comes out at -0.808 eV per atom.

---

The following is a PBE-GGA calculation of a geometry-optimized AcHoAg structure, from Alexandria.

The structure belongs to space group P4/nmm (No. 129, origin choice 2); the cell edges are 4.9848, 4.9848 and 7.7155 Å and the angles 90.00°, 90.00° and 90.00°. The distinct sites, in fractional coordinates, are Ac at (0.2500, 0.2500, 0.1262), Ho at (0.2500, 0.7500, 0.5000) and Ag at (0.2500, 0.2500, 0.7197).

The volume is 95.9 Å³/f.u. The energy above the lowest structure with this stoichiometry comes out at 0 meV/atom. The value obtained for the calculated formation energy is -166.5 meV per atom. As for the spin magnetization: 0.0 μB per formula unit.